# RbInPb2F8

Crystalline RbInPb2F8 at its relaxed geometry (GGA-PBE, Alexandria).

Calculated values
space-group type = P2/m (10)

a = 4.4229 Å, b = 5.8756 Å, c = 8.1396 Å
α = 89.99°, β = 89.97°, γ = 96.57°
With the nearest neighbours (Å) after each atom.
Fractional positions:
1 Rb 0.0000 0.0000 0.5000  8 F 2.72-2.86
2 In 0.0000 0.0000 0.0000  6 F 2.14-2.16
3 Pb 0.4997 0.5000 0.7522  6 F 2.44-2.69
4 Pb 0.5003 0.5000 0.2478  6 F 2.44-2.69
5 F 0.0460 0.7591 0.1969  1 In 2.16
6 F 0.5710 0.7907 0.0000  1 In 2.14
7 F 0.9535 0.2407 0.1968  1 In 2.16
8 F 0.9540 0.2409 0.8031  1 In 2.16
9 F 0.4290 0.2093 0.0000  1 In 2.14
10 F 0.0465 0.7593 0.8032  1 In 2.16
11 F 0.4652 0.7194 0.4999  2 Pb 2.44, 1 F 2.63, 1 Rb 2.72
12 F 0.5348 0.2806 0.5001  2 Pb 2.44, 1 F 2.63, 1 Rb 2.72



# In2RePbF

Crystalline In2RePbF at its relaxed geometry (GGA-PBE, Alexandria).

Calculated values
space-group type = P4/mmm (123)

a = 4.7526 Å, b = 4.8855 Å, c = 4.7526 Å
α = 90.00°, β = 90.00°, γ = 90.00°
With the nearest neighbours (Å) after each atom.
Fractional positions:
1 Pb 0.0000 0.5000 0.0000  2 F 2.44
2 Re 0.5000 0.5000 0.5000  4 Pb 3.36, 8 In 3.41
3 F 0.0000 0.0000 0.0000  4 In 2.38, 2 Pb 2.44
4 In 0.0000 0.0000 0.5000  2 F 2.38
5 In 0.5000 0.0000 0.0000  2 F 2.38



Number 1: M_tot 0.0 Bohr magnetons per cell, E_form (uncorrected) -2.485 eV per atom. Number 2: M_tot 2.3 Bohr magnetons per cell, E_form (uncorrected) 0.384 eV per atom.